# 1
## Rb3Tl3Bi2 (PBE-GGA)

Data for a relaxed Rb3Tl3Bi2 crystal.

abc: 5.374 7.340 18.649
angles: 90.00 90.00 111.48
Fractional coordinates of all 16 atoms:
Rb 0.928 0.855 0.397
Rb 0.072 0.145 0.897
Rb 0.928 0.855 0.103
Rb 0.072 0.145 0.603
Rb 0.635 0.270 0.250
Rb 0.365 0.730 0.750
Tl 0.643 0.285 0.470
Tl 0.357 0.715 0.970
Tl 0.643 0.285 0.030
Tl 0.357 0.715 0.530
Tl 0.354 0.709 0.250
Tl 0.646 0.291 0.750
Bi 0.785 0.570 0.885
Bi 0.215 0.430 0.385
Bi 0.785 0.570 0.615
Bi 0.215 0.430 0.115

Calculated values
**SG**: No. 63
**Uncorrected energy**: -39.48 eV for the cell shown
**Magnetization**: 0.00 μB per formula unit



# 2
## MgGa3Hg3 (PBE-GGA)

Data for a relaxed MgGa3Hg3 crystal.

abc: 7.590 7.590 7.590
angles: 90.00 90.00 90.00
Fractional coordinates of all 14 atoms:
Mg 0.500 0.500 0.500
Mg 0.000 0.000 0.000
Hg 0.250 0.000 0.500
Hg 0.000 0.500 0.250
Hg 0.500 0.750 0.000
Hg 0.750 0.000 0.500
Hg 0.000 0.500 0.750
Hg 0.500 0.250 0.000
Ga 0.000 0.250 0.500
Ga 0.000 0.750 0.500
Ga 0.500 0.000 0.750
Ga 0.750 0.500 0.000
Ga 0.500 0.000 0.250
Ga 0.250 0.500 0.000

Calculated values
**SG**: No. 223
**Uncorrected energy**: -18.19 eV for the cell shown
**Magnetization**: 0.00 μB per formula unit



# 3
## Ho3ZnCu (PBE-GGA)

Data for a relaxed Ho3ZnCu crystal.

abc: 4.974 4.973 9.822
angles: 90.00 75.33 90.00
Fractional coordinates of all 10 atoms:
Ho 0.757 0.250 0.135
Ho 0.393 0.250 0.861
Ho 0.575 0.250 0.499
Ho 0.255 0.750 0.139
Ho 0.892 0.750 0.865
Ho 0.073 0.750 0.501
Zn 0.666 0.750 0.315
Zn 0.982 0.250 0.685
Cu 0.486 0.750 0.677
Cu 0.163 0.250 0.323

Calculated values
**SG**: No. 63
**Uncorrected energy**: -40.43 eV for the cell shown
**Magnetization**: 0.00 μB per formula unit



# 4
## Pr3Y (PBE-GGA)

Data for a relaxed Pr3Y crystal.

abc: 5.849 5.849 5.849
angles: 60.00 60.00 60.00
Fractional coordinates of all 4 atoms:
Pr 0.000 0.000 0.000
Pr 0.750 0.750 0.750
Pr 0.250 0.250 0.250
Y 0.500 0.500 0.500

Calculated values
**SG**: No. 225
**Uncorrected energy**: -20.32 eV for the cell shown
**Magnetization**: 0.00 μB per formula unit



# 5
## NdPd12Au6 (PBE-GGA)

Data for a relaxed NdPd12Au6 crystal.

abc: 7.445 7.445 7.445
angles: 105.73 105.73 105.73
Fractional coordinates of all 19 atoms:
Nd 0.000 0.000 0.000
Pd 0.890 0.110 0.500
Pd 0.895 0.655 0.655
Pd 0.655 0.655 0.895
Pd 0.345 0.105 0.345
Pd 0.345 0.345 0.105
Pd 0.105 0.345 0.345
Pd 0.110 0.500 0.890
Pd 0.500 0.890 0.110
Pd 0.110 0.890 0.500
Pd 0.890 0.500 0.110
Pd 0.500 0.110 0.890
Pd 0.655 0.895 0.655
Au 0.700 0.304 0.304
Au 0.304 0.304 0.700
Au 0.304 0.700 0.304
Au 0.696 0.696 0.300
Au 0.300 0.696 0.696
Au 0.696 0.300 0.696

Calculated values
**SG**: No. 166
**Uncorrected energy**: -86.44 eV for the cell shown
**Magnetization**: 0.00 μB per formula unit



# 6
## SmPu2Th (PBE-GGA)

Data for a relaxed SmPu2Th crystal.

abc: 3.494 3.494 9.654
angles: 90.00 90.00 90.00
Each line ends with the local moment (μB).
Fractional coordinates of all 4 atoms:
Sm 0.500 0.500 0.000  0.12
Th 0.500 0.500 0.500  0.08
Pu 0.000 0.000 0.739  5.36
Pu 0.000 0.000 0.261  5.36

Calculated values
**SG**: No. 123
**Uncorrected energy**: -40.07 eV for the cell shown
**Magnetization**: 11.75 μB per formula unit



| no. | formation energy from the elements (eV/atom) |
| --- | --- |
| 1 | -0.247 |
| 2 | 0.355 |
| 3 | -0.222 |
| 4 | 0.121 |
| 5 | 0.016 |
| 6 | 0.183 |